# 1
5
Lattice="-2.987 2.964 0.718 -0.808 0.200 -4.187 -2.941 -3.065 0.421" Properties=species:S:1:pos:R:3 comment="Li3TcMo (PBE, optimized geometry)" final_energy_ev_per_cell=-18.196 ef_ev_per_atom=1.748 spacegroup="No. 221" pbc="T T T"
Mo -3.367 0.049 -1.524
Tc 0.000 0.000 0.000
Li -0.404 0.100 -2.093
Li -1.470 -1.533 0.211
Li -1.493 1.482 0.359

***

# 2
8
Lattice="-2.979 -0.975 3.169 5.711 -2.183 4.697 2.399 6.076 4.124" Properties=species:S:1:pos:R:3 comment="CePrDy2Sb4 (PBE, optimized geometry)" final_energy_ev_per_cell=-45.400 e_form_raw_kj_per_mol_atoms=-108.5 spacegroup="No. 10" pbc="T T T"
Ce 4.055 1.946 4.410
Pr 1.366 -1.579 3.933
Dy 2.399 6.076 4.124
Dy -0.290 2.550 3.646
Sb 6.120 2.864 6.633
Sb -0.988 0.054 5.356
Sb 3.437 -0.624 6.173
Sb 1.694 3.542 5.816

***

# 3
5
Lattice="5.183 0.000 0.000 0.000 5.183 0.000 0.000 0.000 4.780" Properties=species:S:1:pos:R:3 comment="RbCdS2N (PBE, optimized geometry)" final_energy_ev_per_cell=-15.583 e_form_raw_kj_per_mol_atoms=55.6 spacegroup="No. 123" pbc="T T T"
S 0.000 2.591 0.000
S 2.591 0.000 0.000
N 0.000 0.000 2.390
Rb 2.591 2.591 2.390
Cd 0.000 0.000 0.000